Below is a geometry-optimized Pm3Pr6Ho2Er structure, with properties calculated at the PBE-GGA level.

Energy, eV per atom: -4.71
Crystal system: monoclinic
Formation energy, eV/atom: 0.014

Cell: 6.343 6.343 11.997 Å, 95.05 95.05 120.02°
Fractional positions:
Pr 0.251 0.251 0.754
Pr 0.749 0.749 0.246
Pr 0.917 0.584 0.754
Pr 0.584 0.917 0.754
Pr 0.083 0.416 0.246
Pr 0.416 0.083 0.246
Pm 0.833 0.167 0.500
Pm 0.167 0.833 0.500
Pm 0.500 0.500 0.500
Ho 0.333 0.667 0.000
Ho 0.667 0.333 0.000
Er 0.000 0.000 0.000

Below is a geometry-optimized Li4HfPa3N8 structure, with properties calculated at the PBE-GGA level.

Energy, eV per atom: -8.25
Crystal system: trigonal

Cell: 6.927 6.446 6.928 Å, 122.49 119.99 90.00°
Fractional positions:
Li 0.000 0.000 0.000
Li 0.500 0.000 0.000
Li 0.500 0.000 0.500
Li 0.000 0.000 0.500
N 0.765 0.287 0.531
N 0.235 0.713 0.469
N 0.744 0.713 0.978
N 0.738 0.713 0.475
N 0.765 0.287 0.022
N 0.262 0.287 0.525
N 0.235 0.713 0.978
N 0.256 0.287 0.022
Pa 0.500 0.500 0.500
Pa 0.000 0.500 0.500
Pa 0.500 0.500 0.000
Hf 0.000 0.500 0.000

Below is a geometry-optimized Te2SeBr structure, with properties calculated at the PBE-GGA level.

Energy, eV per atom: -2.63
Crystal system: orthorhombic
ΔE to the lowest computed polymorph, eV/f.u.: 1.18

Cell: 4.066 8.496 4.091 Å, 90.00 90.00 90.00°
Fractional positions:
Te 0.500 0.500 0.000
Te 0.000 0.000 0.000
Br 0.500 0.000 0.500
Se 0.000 0.500 0.500